# 1
PrAgAu3: optimized geometry, PBE-GGA.

**Magnetization**: 0.00 Bohr magnetons per cell
**Total DFT energy (no corrections)**: -3.91 eV per atom

```
PrAgAu3
1.0
5.302 0.000 0.000
0.000 6.169 0.000
-2.216 0.000 6.821
Pr Ag Au
2 2 6
Direct
0.238 0.250 0.251 Pr
0.762 0.750 0.749 Pr
0.379 0.750 0.018 Ag
0.621 0.250 0.982 Ag
0.232 0.020 0.683 Au
0.232 0.480 0.683 Au
0.265 0.750 0.365 Au
0.735 0.250 0.635 Au
0.768 0.520 0.317 Au
0.768 0.980 0.317 Au
```

---

# 2
Pr2Ag5Au: optimized geometry, PBE-GGA.

**Magnetization**: 0.00 Bohr magnetons per cell
**Total DFT energy (no corrections)**: -3.64 eV per atom

```
Pr2Ag5Au
1.0
2.121 -8.786 0.000
2.121 8.786 0.000
0.000 0.000 9.990
Pr Ag Au
4 10 2
Direct
0.000 0.000 0.000 Pr
0.000 0.000 0.500 Pr
0.182 0.818 0.750 Pr
0.818 0.182 0.250 Pr
0.203 0.797 0.107 Ag
0.203 0.797 0.393 Ag
0.362 0.638 0.026 Ag
0.362 0.638 0.474 Ag
0.384 0.616 0.750 Ag
0.616 0.384 0.250 Ag
0.638 0.362 0.526 Ag
0.638 0.362 0.974 Ag
0.797 0.203 0.607 Ag
0.797 0.203 0.893 Ag
0.458 0.542 0.250 Au
0.542 0.458 0.750 Au
```